## PmAlSnAu (PBE)

Data for crystalline PmAlSnAu at its relaxed geometry.

Structure (CIF):
```
data_PmAlSnAu
_chemical_formula_sum 'Pm4 Al4 Sn4 Au4'
_cell_length_a 7.185
_cell_length_b 7.185
_cell_length_c 7.185
_cell_angle_alpha 90.00
_cell_angle_beta 90.00
_cell_angle_gamma 90.00
_space_group_name_H-M_alt 'P 1'
_space_group_IT_number 1
loop_
_space_group_symop_operation_xyz
'x,y,z'
loop_
_atom_site_label
_atom_site_fract_x
_atom_site_fract_y
_atom_site_fract_z
Pm1 0.000 0.000 0.000
Pm2 0.000 0.500 0.500
Pm3 0.500 0.000 0.500
Pm4 0.500 0.500 0.000
Al1 0.250 0.250 0.750
Al2 0.250 0.750 0.250
Al3 0.750 0.250 0.250
Al4 0.750 0.750 0.750
Sn1 0.000 0.000 0.500
Sn2 0.000 0.500 0.000
Sn3 0.500 0.000 0.000
Sn4 0.500 0.500 0.500
Au1 0.250 0.250 0.250
Au2 0.250 0.750 0.750
Au3 0.750 0.250 0.750
Au4 0.750 0.750 0.250
```

**DFT formation energy**: -342 meV per atom
**Raw total energy**: -4.286 eV per atom
**Magnetic moment**: 0.00 Bohr magnetons per cell
**Density of states at the Fermi level**: 13.7 states/eV per cell

## Sr2PmAl3Au12 (PBE)

Data for crystalline Sr2PmAl3Au12 at its relaxed geometry.

Structure (CIF):
```
data_Sr2PmAl3Au12
_chemical_formula_sum 'Sr2 Pm1 Al3 Au12'
_cell_length_a 8.133
_cell_length_b 8.133
_cell_length_c 8.133
_cell_angle_alpha 68.18
_cell_angle_beta 68.18
_cell_angle_gamma 68.18
_space_group_name_H-M_alt 'P 1'
_space_group_IT_number 1
loop_
_space_group_symop_operation_xyz
'x,y,z'
loop_
_atom_site_label
_atom_site_fract_x
_atom_site_fract_y
_atom_site_fract_z
Sr1 0.099 0.099 0.099
Sr2 0.901 0.901 0.901
Pm1 0.500 0.500 0.500
Al1 0.000 0.500 0.500
Al2 0.500 0.000 0.500
Al3 0.500 0.500 0.000
Au1 0.108 0.648 0.648
Au2 0.200 0.200 0.660
Au3 0.200 0.660 0.200
Au4 0.340 0.800 0.800
Au5 0.352 0.352 0.892
Au6 0.352 0.892 0.352
Au7 0.648 0.108 0.648
Au8 0.648 0.648 0.108
Au9 0.660 0.200 0.200
Au10 0.800 0.340 0.800
Au11 0.800 0.800 0.340
Au12 0.892 0.352 0.352
```

**DFT formation energy**: -269 meV per atom
**Raw total energy**: -3.529 eV per atom
**Magnetic moment**: 0.00 Bohr magnetons per cell
**Density of states at the Fermi level**: 6.6 states/eV per cell

## SrPmAlAu (PBE)

Data for crystalline SrPmAlAu at its relaxed geometry.

Structure (CIF):
```
data_SrPmAlAu
_chemical_formula_sum 'Sr4 Pm4 Al4 Au4'
_cell_length_a 7.583
_cell_length_b 7.583
_cell_length_c 7.583
_cell_angle_alpha 90.00
_cell_angle_beta 90.00
_cell_angle_gamma 90.00
_space_group_name_H-M_alt 'P 1'
_space_group_IT_number 1
loop_
_space_group_symop_operation_xyz
'x,y,z'
loop_
_atom_site_label
_atom_site_fract_x
_atom_site_fract_y
_atom_site_fract_z
Sr1 0.000 0.000 0.000
Sr2 0.000 0.500 0.500
Sr3 0.500 0.000 0.500
Sr4 0.500 0.500 0.000
Pm1 0.000 0.000 0.500
Pm2 0.000 0.500 0.000
Pm3 0.500 0.000 0.000
Pm4 0.500 0.500 0.500
Al1 0.250 0.250 0.750
Al2 0.250 0.750 0.250
Al3 0.750 0.250 0.250
Al4 0.750 0.750 0.750
Au1 0.250 0.250 0.250
Au2 0.250 0.750 0.750
Au3 0.750 0.250 0.750
Au4 0.750 0.750 0.250
```

**DFT formation energy**: -413 meV per atom
**Raw total energy**: -3.776 eV per atom
**Magnetic moment**: 0.00 Bohr magnetons per cell
**Density of states at the Fermi level**: 18.0 states/eV per cell

## TbPmAlAu (PBE)

Data for crystalline TbPmAlAu at its relaxed geometry.

Structure (CIF):
```
data_TbPmAlAu
_chemical_formula_sum 'Tb4 Pm4 Al4 Au4'
_cell_length_a 7.374
_cell_length_b 7.374
_cell_length_c 7.374
_cell_angle_alpha 90.00
_cell_angle_beta 90.00
_cell_angle_gamma 90.00
_space_group_name_H-M_alt 'P 1'
_space_group_IT_number 1
loop_
_space_group_symop_operation_xyz
'x,y,z'
loop_
_atom_site_label
_atom_site_fract_x
_atom_site_fract_y
_atom_site_fract_z
Tb1 0.000 0.000 0.000
Tb2 0.000 0.500 0.500
Tb3 0.500 0.000 0.500
Tb4 0.500 0.500 0.000
Pm1 0.000 0.000 0.500
Pm2 0.000 0.500 0.000
Pm3 0.500 0.000 0.000
Pm4 0.500 0.500 0.500
Al1 0.250 0.250 0.750
Al2 0.250 0.750 0.250
Al3 0.750 0.250 0.250
Al4 0.750 0.750 0.750
Au1 0.250 0.250 0.250
Au2 0.250 0.750 0.750
Au3 0.750 0.250 0.750
Au4 0.750 0.750 0.250
```

**DFT formation energy**: -522 meV per atom
**Raw total energy**: -4.622 eV per atom
**Magnetic moment**: 0.02 Bohr magnetons per cell
**Density of states at the Fermi level**: 17.3 states/eV per cell

## PmAlTlAu (PBE)

Data for crystalline PmAlTlAu at its relaxed geometry.

Structure (CIF):
```
data_PmAlTlAu
_chemical_formula_sum 'Pm4 Al4 Tl4 Au4'
_cell_length_a 7.181
_cell_length_b 7.181
_cell_length_c 7.181
_cell_angle_alpha 90.00
_cell_angle_beta 90.00
_cell_angle_gamma 90.00
_space_group_name_H-M_alt 'P 1'
_space_group_IT_number 1
loop_
_space_group_symop_operation_xyz
'x,y,z'
loop_
_atom_site_label
_atom_site_fract_x
_atom_site_fract_y
_atom_site_fract_z
Pm1 0.000 0.000 0.000
Pm2 0.000 0.500 0.500
Pm3 0.500 0.000 0.500
Pm4 0.500 0.500 0.000
Al1 0.000 0.000 0.500
Al2 0.000 0.500 0.000
Al3 0.500 0.000 0.000
Al4 0.500 0.500 0.500
Tl1 0.250 0.250 0.250
Tl2 0.250 0.750 0.750
Tl3 0.750 0.250 0.750
Tl4 0.750 0.750 0.250
Au1 0.250 0.250 0.750
Au2 0.250 0.750 0.250
Au3 0.750 0.250 0.250
Au4 0.750 0.750 0.750
```

**DFT formation energy**: -364 meV per atom
**Raw total energy**: -3.898 eV per atom
**Magnetic moment**: 0.00 Bohr magnetons per cell
**Density of states at the Fermi level**: 6.2 states/eV per cell

## PmTmAlAu (PBE)

Data for crystalline PmTmAlAu at its relaxed geometry.

Structure (CIF):
```
data_PmTmAlAu
_chemical_formula_sum 'Pm4 Tm4 Al4 Au4'
_cell_length_a 7.311
_cell_length_b 7.311
_cell_length_c 7.311
_cell_angle_alpha 90.00
_cell_angle_beta 90.00
_cell_angle_gamma 90.00
_space_group_name_H-M_alt 'P 1'
_space_group_IT_number 1
loop_
_space_group_symop_operation_xyz
'x,y,z'
loop_
_atom_site_label
_atom_site_fract_x
_atom_site_fract_y
_atom_site_fract_z
Pm1 0.000 0.000 0.000
Pm2 0.000 0.500 0.500
Pm3 0.500 0.000 0.500
Pm4 0.500 0.500 0.000
Tm1 0.000 0.000 0.500
Tm2 0.000 0.500 0.000
Tm3 0.500 0.000 0.000
Tm4 0.500 0.500 0.500
Al1 0.250 0.250 0.750
Al2 0.250 0.750 0.250
Al3 0.750 0.250 0.250
Al4 0.750 0.750 0.750
Au1 0.250 0.250 0.250
Au2 0.250 0.750 0.750
Au3 0.750 0.250 0.750
Au4 0.750 0.750 0.250
```

**DFT formation energy**: -536 meV per atom
**Raw total energy**: -4.596 eV per atom
**Magnetic moment**: 0.00 Bohr magnetons per cell
**Density of states at the Fermi level**: 13.7 states/eV per cell
**Relative energy among the computed polymorphs**: 47 meV/atom

## Pm2TmAl4Au3 (PBE)

Data for crystalline Pm2TmAl4Au3 at its relaxed geometry.

Structure (CIF):
```
data_Pm2TmAl4Au3
_chemical_formula_sum 'Pm2 Tm1 Al4 Au3'
_cell_length_a 4.315
_cell_length_b 4.315
_cell_length_c 11.751
_cell_angle_alpha 90.00
_cell_angle_beta 90.00
_cell_angle_gamma 90.00
_space_group_name_H-M_alt 'P 1'
_space_group_IT_number 1
loop_
_space_group_symop_operation_xyz
'x,y,z'
loop_
_atom_site_label
_atom_site_fract_x
_atom_site_fract_y
_atom_site_fract_z
Pm1 0.000 0.500 0.233
Pm2 0.500 0.000 0.767
Tm1 0.000 0.000 0.500
Al1 0.000 0.000 0.000
Al2 0.000 0.500 0.665
Al3 0.500 0.000 0.335
Al4 0.500 0.500 0.000
Au1 0.000 0.500 0.877
Au2 0.500 0.000 0.123
Au3 0.500 0.500 0.500
```

**DFT formation energy**: -629 meV per atom
**Raw total energy**: -4.507 eV per atom
**Magnetic moment**: 0.00 Bohr magnetons per cell
**Density of states at the Fermi level**: 6.3 states/eV per cell

## PmTm2AlAu4 (PBE)

Data for crystalline PmTm2AlAu4 at its relaxed geometry.

Structure (CIF):
```
data_PmTm2AlAu4
_chemical_formula_sum 'Pm1 Tm2 Al1 Au4'
_cell_length_a 8.917
_cell_length_b 8.917
_cell_length_c 8.917
_cell_angle_alpha 31.85
_cell_angle_beta 31.85
_cell_angle_gamma 31.85
_space_group_name_H-M_alt 'P 1'
_space_group_IT_number 1
loop_
_space_group_symop_operation_xyz
'x,y,z'
loop_
_atom_site_label
_atom_site_fract_x
_atom_site_fract_y
_atom_site_fract_z
Pm1 0.000 0.000 0.000
Tm1 0.241 0.241 0.241
Tm2 0.759 0.759 0.759
Al1 0.500 0.500 0.500
Au1 0.123 0.123 0.123
Au2 0.391 0.391 0.391
Au3 0.609 0.609 0.609
Au4 0.877 0.877 0.877
```

**DFT formation energy**: -751 meV per atom
**Raw total energy**: -4.569 eV per atom
**Magnetic moment**: 0.00 Bohr magnetons per cell
**Density of states at the Fermi level**: 3.6 states/eV per cell

## PmTmAlAu (PBE)

Data for crystalline PmTmAlAu at its relaxed geometry.

Structure (CIF):
```
data_PmTmAlAu
_chemical_formula_sum 'Pm2 Tm2 Al2 Au2'
_cell_length_a 4.571
_cell_length_b 3.782
_cell_length_c 11.455
_cell_angle_alpha 90.00
_cell_angle_beta 90.00
_cell_angle_gamma 90.00
_space_group_name_H-M_alt 'P 1'
_space_group_IT_number 1
loop_
_space_group_symop_operation_xyz
'x,y,z'
loop_
_atom_site_label
_atom_site_fract_x
_atom_site_fract_y
_atom_site_fract_z
Pm1 0.000 0.000 0.000
Pm2 0.000 0.500 0.500
Tm1 0.500 0.000 0.701
Tm2 0.500 0.500 0.201
Al1 0.000 0.000 0.272
Al2 0.000 0.500 0.772
Au1 0.500 0.000 0.414
Au2 0.500 0.500 0.914
```

**DFT formation energy**: -582 meV per atom
**Raw total energy**: -4.643 eV per atom
**Magnetic moment**: 0.00 Bohr magnetons per cell
**Density of states at the Fermi level**: 7.6 states/eV per cell
**Relative energy among the computed polymorphs**: 0 meV/atom

## PmYAlAu (PBE)

Data for crystalline PmYAlAu at its relaxed geometry.

Structure (CIF):
```
data_PmYAlAu
_chemical_formula_sum 'Pm2 Y2 Al2 Au2'
_cell_length_a 4.567
_cell_length_b 3.841
_cell_length_c 11.539
_cell_angle_alpha 90.00
_cell_angle_beta 90.00
_cell_angle_gamma 90.00
_space_group_name_H-M_alt 'P 1'
_space_group_IT_number 1
loop_
_space_group_symop_operation_xyz
'x,y,z'
loop_
_atom_site_label
_atom_site_fract_x
_atom_site_fract_y
_atom_site_fract_z
Pm1 0.000 0.000 0.000
Pm2 0.000 0.500 0.500
Y1 0.500 0.000 0.298
Y2 0.500 0.500 0.798
Al1 0.000 0.000 0.726
Al2 0.000 0.500 0.226
Au1 0.500 0.000 0.582
Au2 0.500 0.500 0.082
```

**DFT formation energy**: -595 meV per atom
**Raw total energy**: -5.153 eV per atom
**Magnetic moment**: 0.00 Bohr magnetons per cell
**Density of states at the Fermi level**: 7.9 states/eV per cell
**Relative energy among the computed polymorphs**: 0 meV/atom

## PmYAlAu (PBE)

Data for crystalline PmYAlAu at its relaxed geometry.

Structure (CIF):
```
data_PmYAlAu
_chemical_formula_sum 'Pm4 Y4 Al4 Au4'
_cell_length_a 7.365
_cell_length_b 7.365
_cell_length_c 7.365
_cell_angle_alpha 90.00
_cell_angle_beta 90.00
_cell_angle_gamma 90.00
_space_group_name_H-M_alt 'P 1'
_space_group_IT_number 1
loop_
_space_group_symop_operation_xyz
'x,y,z'
loop_
_atom_site_label
_atom_site_fract_x
_atom_site_fract_y
_atom_site_fract_z
Pm1 0.000 0.000 0.000
Pm2 0.000 0.500 0.500
Pm3 0.500 0.000 0.500
Pm4 0.500 0.500 0.000
Y1 0.000 0.000 0.500
Y2 0.000 0.500 0.000
Y3 0.500 0.000 0.000
Y4 0.500 0.500 0.500
Al1 0.250 0.250 0.250
Al2 0.250 0.750 0.750
Al3 0.750 0.250 0.750
Al4 0.750 0.750 0.250
Au1 0.250 0.250 0.750
Au2 0.250 0.750 0.250
Au3 0.750 0.250 0.250
Au4 0.750 0.750 0.750
```

**DFT formation energy**: -540 meV per atom
**Raw total energy**: -5.099 eV per atom
**Magnetic moment**: 0.00 Bohr magnetons per cell
**Density of states at the Fermi level**: 15.8 states/eV per cell
**Relative energy among the computed polymorphs**: 55 meV/atom

## Pm2Al3Zn4Au (PBE)

Data for crystalline Pm2Al3Zn4Au at its relaxed geometry.

Structure (CIF):
```
data_Pm2Al3Zn4Au
_chemical_formula_sum 'Pm2 Al3 Zn4 Au1'
_cell_length_a 4.242
_cell_length_b 4.242
_cell_length_c 10.844
_cell_angle_alpha 90.00
_cell_angle_beta 90.00
_cell_angle_gamma 90.00
_space_group_name_H-M_alt 'P 1'
_space_group_IT_number 1
loop_
_space_group_symop_operation_xyz
'x,y,z'
loop_
_atom_site_label
_atom_site_fract_x
_atom_site_fract_y
_atom_site_fract_z
Pm1 0.000 0.500 0.246
Pm2 0.500 0.000 0.754
Al1 0.000 0.500 0.868
Al2 0.500 0.000 0.132
Al3 0.500 0.500 0.500
Zn1 0.000 0.000 0.000
Zn2 0.000 0.500 0.641
Zn3 0.500 0.000 0.359
Zn4 0.500 0.500 0.000
Au1 0.000 0.000 0.500
```

**DFT formation energy**: -422 meV per atom
**Raw total energy**: -3.332 eV per atom
**Magnetic moment**: 0.00 Bohr magnetons per cell
**Density of states at the Fermi level**: 6.3 states/eV per cell

> Which value of DFT formation energy does entry 4 give?

-522 meV per atom

Repeat the twelfth record exactly.
## Pm2Al3Zn4Au (PBE)

Data for crystalline Pm2Al3Zn4Au at its relaxed geometry.

Structure (CIF):
```
data_Pm2Al3Zn4Au
_chemical_formula_sum 'Pm2 Al3 Zn4 Au1'
_cell_length_a 4.242
_cell_length_b 4.242
_cell_length_c 10.844
_cell_angle_alpha 90.00
_cell_angle_beta 90.00
_cell_angle_gamma 90.00
_space_group_name_H-M_alt 'P 1'
_space_group_IT_number 1
loop_
_space_group_symop_operation_xyz
'x,y,z'
loop_
_atom_site_label
_atom_site_fract_x
_atom_site_fract_y
_atom_site_fract_z
Pm1 0.000 0.500 0.246
Pm2 0.500 0.000 0.754
Al1 0.000 0.500 0.868
Al2 0.500 0.000 0.132
Al3 0.500 0.500 0.500
Zn1 0.000 0.000 0.000
Zn2 0.000 0.500 0.641
Zn3 0.500 0.000 0.359
Zn4 0.500 0.500 0.000
Au1 0.000 0.000 0.500
```

**DFT formation energy**: -422 meV per atom
**Raw total energy**: -3.332 eV per atom
**Magnetic moment**: 0.00 Bohr magnetons per cell
**Density of states at the Fermi level**: 6.3 states/eV per cell

> Among the records above, which one has the highest magnetic moment?

TbPmAlAu